[1]
# ScTlN2 | Alexandria via LeMat-Bulk | PBEsol | relaxed
data_ScTlN2
_chemical_formula_sum 'Sc1 Tl1 N2'
_cell_length_a 4.095
_cell_length_b 4.095
_cell_length_c 4.095
_cell_angle_alpha 60.00
_cell_angle_beta 60.00
_cell_angle_gamma 60.00
_symmetry_space_group_name_H-M 'P 1'
_symmetry_Int_Tables_number 1
loop_
_symmetry_equiv_pos_as_xyz
'x,y,z'
loop_
_atom_site_label
_atom_site_type_symbol
_atom_site_fract_x
_atom_site_fract_y
_atom_site_fract_z
_atom_site_occupancy
Tl1 Tl 0.500 0.500 0.500 1
N1 N 0.750 0.750 0.750 1
N2 N 0.250 0.250 0.250 1
Sc1 Sc 0.000 0.000 0.000 1
# Total magnetic moment   0.00 Bohr magnetons per cell
# ρ   9.5 g cm⁻³
# Formation energy without anion corrections   309.5 meV/atom



[2]
# La2Se | Alexandria via LeMat-Bulk | PBEsol | relaxed
data_La2Se
_chemical_formula_sum 'La2 Se1'
_cell_length_a 4.086
_cell_length_b 4.086
_cell_length_c 6.785
_cell_angle_alpha 90.00
_cell_angle_beta 90.00
_cell_angle_gamma 120.00
_symmetry_space_group_name_H-M 'P 1'
_symmetry_Int_Tables_number 1
loop_
_symmetry_equiv_pos_as_xyz
'x,y,z'
loop_
_atom_site_label
_atom_site_type_symbol
_atom_site_fract_x
_atom_site_fract_y
_atom_site_fract_z
_atom_site_occupancy
La1 La 0.667 0.333 0.767 1
La2 La 0.333 0.667 0.233 1
Se1 Se 0.000 0.000 0.500 1
# Total magnetic moment   1.46 Bohr magnetons per cell
# ρ   6.0 g cm⁻³
# Formation energy without anion corrections   -1136.6 meV/atom



[3]
# RbHg2Pd2 | Alexandria via LeMat-Bulk | PBEsol | relaxed
data_RbHg2Pd2
_chemical_formula_sum 'Rb1 Hg2 Pd2'
_cell_length_a 4.343
_cell_length_b 4.343
_cell_length_c 6.893
_cell_angle_alpha 108.36
_cell_angle_beta 108.36
_cell_angle_gamma 90.00
_symmetry_space_group_name_H-M 'P 1'
_symmetry_Int_Tables_number 1
loop_
_symmetry_equiv_pos_as_xyz
'x,y,z'
loop_
_atom_site_label
_atom_site_type_symbol
_atom_site_fract_x
_atom_site_fract_y
_atom_site_fract_z
_atom_site_occupancy
Rb1 Rb 0.000 0.000 0.000 1
Hg1 Hg 0.384 0.384 0.768 1
Hg2 Hg 0.616 0.616 0.232 1
Pd1 Pd 0.250 0.750 0.500 1
Pd2 Pd 0.750 0.250 0.500 1
# ΔH_f (0 K)   -77.9 meV per atom
# Total magnetic moment   0.00 Bohr magnetons per cell
# ρ   10.0 g cm⁻³
# E above lowest polymorph   0.39 eV per formula unit



[4]
# Pt4Au5 | Alexandria via LeMat-Bulk | PBEsol | relaxed
data_Pt4Au5
_chemical_formula_sum 'Pt4 Au5'
_cell_length_a 3.951
_cell_length_b 6.357
_cell_length_c 6.357
_cell_angle_alpha 84.46
_cell_angle_beta 71.90
_cell_angle_gamma 71.90
_symmetry_space_group_name_H-M 'P 1'
_symmetry_Int_Tables_number 1
loop_
_symmetry_equiv_pos_as_xyz
'x,y,z'
loop_
_atom_site_label
_atom_site_type_symbol
_atom_site_fract_x
_atom_site_fract_y
_atom_site_fract_z
_atom_site_occupancy
Au1 Au 0.332 0.335 0.000 1
Au2 Au 0.668 0.000 0.665 1
Au3 Au 0.668 0.665 0.000 1
Au4 Au 0.000 0.000 0.000 1
Au5 Au 0.332 0.000 0.335 1
Pt1 Pt 0.000 0.661 0.339 1
Pt2 Pt 0.339 0.661 0.661 1
Pt3 Pt 0.000 0.339 0.661 1
Pt4 Pt 0.661 0.339 0.339 1
# ΔH_f (0 K)   48.4 meV per atom
# Total magnetic moment   0.00 Bohr magnetons per cell
# ρ   20.3 g cm⁻³



[5]
# KCd2Ag | Alexandria via LeMat-Bulk | PBEsol | relaxed
data_KCd2Ag
_chemical_formula_sum 'K1 Cd2 Ag1'
_cell_length_a 3.477
_cell_length_b 3.477
_cell_length_c 8.245
_cell_angle_alpha 90.00
_cell_angle_beta 90.00
_cell_angle_gamma 90.00
_symmetry_space_group_name_H-M 'P 1'
_symmetry_Int_Tables_number 1
loop_
_symmetry_equiv_pos_as_xyz
'x,y,z'
loop_
_atom_site_label
_atom_site_type_symbol
_atom_site_fract_x
_atom_site_fract_y
_atom_site_fract_z
_atom_site_occupancy
Ag1 Ag 0.500 0.500 0.500 1
Cd1 Cd 0.000 0.000 0.686 1
Cd2 Cd 0.000 0.000 0.314 1
K1 K 0.500 0.500 0.000 1
# ΔH_f (0 K)   42.9 meV per atom
# Total magnetic moment   0.00 Bohr magnetons per cell
# ρ   6.2 g cm⁻³
# E above lowest polymorph   0.05 eV per formula unit



[6]
# Ba2Ca2TbTi3Cu2O14 | Alexandria via LeMat-Bulk | PBEsol | relaxed
data_Ba2Ca2TbTi3Cu2O14
_chemical_formula_sum 'Ba2 Ca2 Tb1 Ti3 Cu2 O14'
_cell_length_a 3.871
_cell_length_b 3.871
_cell_length_c 19.212
_cell_angle_alpha 90.00
_cell_angle_beta 90.00
_cell_angle_gamma 90.00
_symmetry_space_group_name_H-M 'P 1'
_symmetry_Int_Tables_number 1
loop_
_symmetry_equiv_pos_as_xyz
'x,y,z'
loop_
_atom_site_label
_atom_site_type_symbol
_atom_site_fract_x
_atom_site_fract_y
_atom_site_fract_z
_atom_site_occupancy
O1 O 0.000 0.000 0.301 1
O2 O 0.500 0.000 0.573 1
O3 O 0.000 0.500 0.000 1
O4 O 0.000 0.000 0.699 1
O5 O 0.500 0.000 0.804 1
O6 O 0.500 0.000 0.427 1
O7 O 0.000 0.500 0.196 1
O8 O 0.500 0.000 0.196 1
O9 O 0.000 0.500 0.573 1
O10 O 0.500 0.000 0.000 1
O11 O 0.000 0.500 0.804 1
O12 O 0.000 0.000 0.901 1
O13 O 0.000 0.000 0.099 1
O14 O 0.000 0.500 0.427 1
Tb1 Tb 0.500 0.500 0.500 1
Ba1 Ba 0.500 0.500 0.692 1
Ba2 Ba 0.500 0.500 0.308 1
Ti1 Ti 0.000 0.000 0.201 1
Ti2 Ti 0.000 0.000 0.000 1
Ti3 Ti 0.000 0.000 0.799 1
Cu1 Cu 0.000 0.000 0.412 1
Cu2 Cu 0.000 0.000 0.588 1
Ca1 Ca 0.500 0.500 0.899 1
Ca2 Ca 0.500 0.500 0.101 1
# Total magnetic moment   0.00 Bohr magnetons per cell
# ρ   5.8 g cm⁻³
# Formation energy without anion corrections   -2668.3 meV/atom



[7]
# CaVSi4H8O15 | Alexandria via LeMat-Bulk | PBEsol | relaxed
data_CaVSi4H8O15
_chemical_formula_sum 'Ca4 V4 Si16 H32 O60'
_cell_length_a 9.250
_cell_length_b 9.901
_cell_length_c 13.884
_cell_angle_alpha 90.00
_cell_angle_beta 90.00
_cell_angle_gamma 90.00
_symmetry_space_group_name_H-M 'P 1'
_symmetry_Int_Tables_number 1
loop_
_symmetry_equiv_pos_as_xyz
'x,y,z'
loop_
_atom_site_label
_atom_site_type_symbol
_atom_site_fract_x
_atom_site_fract_y
_atom_site_fract_z
_atom_site_occupancy
Ca1 Ca 0.403 0.093 0.250 1
Ca2 Ca 0.597 0.907 0.750 1
Ca3 Ca 0.097 0.593 0.750 1
Ca4 Ca 0.903 0.407 0.250 1
O1 O 0.192 0.080 0.347 1
O2 O 0.556 0.345 0.509 1
O3 O 0.969 0.569 0.363 1
O4 O 0.192 0.080 0.153 1
O5 O 0.969 0.569 0.137 1
O6 O 0.341 0.170 0.501 1
O7 O 0.651 0.166 0.250 1
O8 O 0.963 0.948 0.250 1
O9 O 0.086 0.802 0.842 1
O10 O 0.841 0.330 0.999 1
O11 O 0.849 0.666 0.750 1
O12 O 0.031 0.431 0.863 1
O13 O 0.444 0.655 0.491 1
O14 O 0.689 0.232 0.750 1
O15 O 0.308 0.580 0.653 1
O16 O 0.692 0.420 0.153 1
O17 O 0.349 0.834 0.750 1
O18 O 0.189 0.268 0.750 1
O19 O 0.215 0.932 0.987 1
O20 O 0.311 0.768 0.250 1
O21 O 0.056 0.155 0.509 1
O22 O 0.586 0.698 0.658 1
O23 O 0.531 0.069 0.863 1
O24 O 0.086 0.802 0.658 1
O25 O 0.531 0.069 0.637 1
O26 O 0.159 0.670 0.001 1
O27 O 0.463 0.552 0.250 1
O28 O 0.159 0.670 0.499 1
O29 O 0.586 0.698 0.842 1
O30 O 0.031 0.431 0.637 1
O31 O 0.692 0.420 0.347 1
O32 O 0.341 0.170 0.999 1
O33 O 0.037 0.052 0.750 1
O34 O 0.659 0.830 0.001 1
O35 O 0.944 0.845 0.491 1
O36 O 0.308 0.580 0.847 1
O37 O 0.414 0.302 0.158 1
O38 O 0.914 0.198 0.342 1
O39 O 0.414 0.302 0.342 1
O40 O 0.785 0.068 0.013 1
O41 O 0.537 0.448 0.750 1
O42 O 0.215 0.932 0.513 1
O43 O 0.715 0.568 0.987 1
O44 O 0.841 0.330 0.501 1
O45 O 0.659 0.830 0.499 1
O46 O 0.444 0.655 0.009 1
O47 O 0.808 0.920 0.847 1
O48 O 0.151 0.334 0.250 1
O49 O 0.715 0.568 0.513 1
O50 O 0.285 0.432 0.013 1
O51 O 0.811 0.732 0.250 1
O52 O 0.914 0.198 0.158 1
O53 O 0.556 0.345 0.991 1
O54 O 0.056 0.155 0.991 1
O55 O 0.469 0.931 0.137 1
O56 O 0.808 0.920 0.653 1
O57 O 0.944 0.845 0.009 1
O58 O 0.469 0.931 0.363 1
O59 O 0.785 0.068 0.487 1
O60 O 0.285 0.432 0.487 1
Si1 Si 0.401 0.315 0.458 1
Si2 Si 0.200 0.081 0.463 1
Si3 Si 0.300 0.581 0.963 1
Si4 Si 0.800 0.919 0.537 1
Si5 Si 0.599 0.685 0.958 1
Si6 Si 0.099 0.815 0.958 1
Si7 Si 0.599 0.685 0.542 1
Si8 Si 0.800 0.919 0.963 1
Si9 Si 0.901 0.185 0.042 1
Si10 Si 0.401 0.315 0.042 1
Si11 Si 0.300 0.581 0.537 1
Si12 Si 0.700 0.419 0.463 1
Si13 Si 0.901 0.185 0.458 1
Si14 Si 0.700 0.419 0.037 1
Si15 Si 0.099 0.815 0.542 1
Si16 Si 0.200 0.081 0.037 1
V1 V 0.537 0.404 0.250 1
V2 V 0.463 0.596 0.750 1
V3 V 0.963 0.904 0.750 1
V4 V 0.037 0.096 0.250 1
H1 H 0.707 0.746 0.250 1
H2 H 0.280 0.836 0.696 1
H3 H 0.537 0.901 0.087 1
H4 H 0.463 0.099 0.913 1
H5 H 0.860 0.824 0.250 1
H6 H 0.207 0.754 0.250 1
H7 H 0.280 0.836 0.804 1
H8 H 0.092 0.353 0.843 1
H9 H 0.908 0.647 0.343 1
H10 H 0.408 0.853 0.343 1
H11 H 0.720 0.164 0.304 1
H12 H 0.463 0.099 0.587 1
H13 H 0.537 0.901 0.413 1
H14 H 0.220 0.336 0.304 1
H15 H 0.780 0.664 0.696 1
H16 H 0.963 0.401 0.913 1
H17 H 0.037 0.599 0.087 1
H18 H 0.140 0.176 0.750 1
H19 H 0.293 0.254 0.750 1
H20 H 0.780 0.664 0.804 1
H21 H 0.908 0.647 0.157 1
H22 H 0.720 0.164 0.196 1
H23 H 0.640 0.324 0.750 1
H24 H 0.037 0.599 0.413 1
H25 H 0.592 0.147 0.657 1
H26 H 0.408 0.853 0.157 1
H27 H 0.092 0.353 0.657 1
H28 H 0.963 0.401 0.587 1
H29 H 0.220 0.336 0.196 1
H30 H 0.592 0.147 0.843 1
H31 H 0.360 0.676 0.250 1
H32 H 0.793 0.246 0.750 1
# Uncorrected energy   -6.89 eV per atom
# Total magnetic moment   4.00 Bohr magnetons per cell
# ρ   2.4 g cm⁻³



[8]
# Li2CrFeO4 | Alexandria via LeMat-Bulk | PBEsol | relaxed
data_Li2CrFeO4
_chemical_formula_sum 'Li6 Cr3 Fe3 O12'
_cell_length_a 4.924
_cell_length_b 6.404
_cell_length_c 6.404
_cell_angle_alpha 82.98
_cell_angle_beta 82.65
_cell_angle_gamma 82.65
_symmetry_space_group_name_H-M 'P 1'
_symmetry_Int_Tables_number 1
loop_
_symmetry_equiv_pos_as_xyz
'x,y,z'
loop_
_atom_site_label
_atom_site_type_symbol
_atom_site_fract_x
_atom_site_fract_y
_atom_site_fract_z
_atom_site_occupancy
O1 O 0.873 0.968 0.804 1
O2 O 0.369 0.134 0.638 1
O3 O 0.366 0.802 0.971 1
O4 O 0.373 0.473 0.301 1
O5 O 0.869 0.643 0.134 1
O6 O 0.874 0.301 0.474 1
O7 O 0.634 0.029 0.198 1
O8 O 0.631 0.362 0.866 1
O9 O 0.126 0.526 0.699 1
O10 O 0.127 0.196 0.032 1
O11 O 0.627 0.699 0.527 1
O12 O 0.131 0.866 0.357 1
Cr1 Cr 0.000 0.586 0.414 1
Cr2 Cr 0.500 0.081 0.919 1
Cr3 Cr 0.500 0.416 0.584 1
Fe1 Fe 0.000 0.920 0.080 1
Fe2 Fe 0.000 0.244 0.756 1
Fe3 Fe 0.500 0.754 0.246 1
Li1 Li 0.747 0.335 0.165 1
Li2 Li 0.749 0.000 0.497 1
Li3 Li 0.244 0.165 0.338 1
Li4 Li 0.253 0.835 0.665 1
Li5 Li 0.251 0.503 0.000 1
Li6 Li 0.756 0.662 0.835 1
# Total magnetic moment   11.74 Bohr magnetons per cell
# ρ   4.7 g cm⁻³
# Formation energy without anion corrections   -1811.1 meV/atom